1:
10
Lattice="-5.029 -0.579 2.090 -3.644 -3.521 -5.447 1.702 -8.799 2.401" Properties=species:S:1:pos:R:3 comment="RbBrCl3, relaxed, DFT PBE" total_magnetization_mub_per_cell=0.00 sg=P1 pbc="T T T"
Rb -4.583 -5.568 -3.945
Rb -3.796 -7.723 1.913
Br -0.722 -10.721 -0.764
Br -2.595 -5.201 -0.523
Cl -6.539 -6.729 -0.274
Cl -3.220 -9.610 -1.722
Cl -0.827 -9.342 1.255
Cl -4.982 -8.825 -2.533
Cl -3.661 -4.273 1.554
Cl -7.388 -3.832 -3.070



2:
20
Lattice="-2.344 7.352 2.331 -10.501 -2.208 -3.595 -1.982 -3.064 7.672" Properties=species:S:1:pos:R:3 comment="RbBrCl3, relaxed, DFT PBE" total_magnetization_mub_per_cell=4.00 sg=Pnma pbc="T T T"
Br -4.832 1.927 4.025
Br -12.074 2.428 7.058
Br -9.995 0.154 2.383
Br -2.753 -0.348 -0.650
Rb -0.991 -1.532 3.836
Rb -6.422 2.572 -0.632
Rb -1.172 3.676 1.165
Rb -6.242 -2.636 2.039
Cl -11.511 -3.445 3.543
Cl -5.727 0.625 1.959
Cl -2.497 1.304 3.065
Cl -6.546 4.846 1.759
Cl -3.316 5.526 2.865
Cl -9.100 1.455 4.449
Cl -12.330 0.776 3.343
Cl -8.281 -2.766 4.649
Cl -5.708 3.089 5.870
Cl -9.892 3.283 0.162
Cl -9.119 -1.009 0.538
Cl -4.934 -1.202 6.246



3:
10
Lattice="4.445 -11.093 0.000 4.445 11.093 0.000 0.000 0.000 4.922" Properties=species:S:1:pos:R:3 comment="RbBrCl3, relaxed, DFT PBE" total_magnetization_mub_per_cell=0.56 sg=Cmcm pbc="T T T"
Br 4.445 3.888 1.230
Br 4.445 -3.888 3.691
Rb 4.445 7.870 1.230
Rb 4.445 -7.870 3.691
Cl 2.057 3.905 1.230
Cl 6.834 3.905 1.230
Cl 2.057 -3.905 3.691
Cl 6.834 -3.905 3.691
Cl 0.000 0.000 0.000
Cl 0.000 0.000 2.461



Verdict on stability: 2 comes out at the bottom.



1:
10
Lattice="-5.002 -2.881 -6.160 1.403 -4.094 2.120 -8.104 0.043 4.784" Properties=species:S:1:pos:R:3 comment="RbBrCl3, relaxed, DFT PBE" total_magnetization_mub_per_cell=0.00 sg=P1 pbc="T T T"
Rb -7.667 -1.144 2.388
Rb -7.169 -6.430 -1.229
Br -3.680 -4.261 1.138
Br -9.456 -4.220 2.839
Cl -6.029 -4.374 1.217
Cl -5.281 -2.867 -2.641
Cl -9.642 -4.525 0.597
Cl -4.989 -2.121 4.071
Cl -1.194 -4.082 1.078
Cl -5.672 -4.594 -3.750



2:
10
Lattice="2.472 4.977 -1.307 -5.554 -0.172 1.306 3.028 1.945 13.130" Properties=species:S:1:pos:R:3 comment="RbBrCl3, relaxed, DFT PBE" total_magnetization_mub_per_cell=2.00 sg=P6_3/mmc pbc="T T T"
Br -0.608 3.004 10.282
Br 0.554 3.747 2.846
Rb 0.000 0.000 0.000
Rb 1.514 0.973 6.565
Cl 0.757 0.486 3.282
Cl 2.271 1.459 9.847
Cl -0.079 3.343 12.577
Cl -1.137 2.664 7.988
Cl 1.083 4.087 5.140
Cl 0.025 3.407 0.552



Verdict on stability: 2 comes out at the bottom.



1:
10
Lattice="4.326 0.000 7.363 -2.163 3.746 7.363 -2.163 -3.746 7.363" Properties=species:S:1:pos:R:3 comment="RbBrCl3, relaxed, DFT PBE" total_magnetization_mub_per_cell=0.00 sg=R-3m pbc="T T T"
Br 0.000 0.000 1.822
Br 0.000 0.000 20.267
Rb 0.000 0.000 6.064
Rb 0.000 0.000 16.025
Cl -0.878 -1.525 9.106
Cl -0.881 1.523 9.106
Cl -1.760 -0.002 12.983
Cl 0.881 -1.523 12.983
Cl 0.878 1.525 12.983
Cl 1.760 0.002 9.106



2:
5
Lattice="-1.146 -3.531 6.272 5.757 -3.250 3.069 2.685 3.047 6.052" Properties=species:S:1:pos:R:3 comment="RbBrCl3, relaxed, DFT PBE" total_magnetization_mub_per_cell=0.00 sg=R3m pbc="T T T"
Br 0.160 -0.082 0.338
Rb 6.046 -3.095 12.758
Cl 3.536 -1.684 11.246
Cl 6.415 -1.566 9.911
Cl 4.817 -4.310 10.002



3:
10
Lattice="-3.675 3.516 1.605 -2.395 -0.333 -4.753 -10.459 -8.191 2.854" Properties=species:S:1:pos:R:3 comment="RbBrCl3, relaxed, DFT PBE" total_magnetization_mub_per_cell=0.00 sg=I-4m2 pbc="T T T"
Br 0.000 0.000 0.000
Br -7.945 -3.467 -1.736
Rb -9.978 -3.379 2.274
Rb -7.191 0.294 0.612
Cl -6.566 0.285 -2.694
Cl -9.620 -6.327 0.694
Cl -10.729 -6.481 -1.507
Cl -4.864 -1.343 -3.438
Cl -6.714 -3.256 0.620
Cl -9.815 -1.753 -0.914



Verdict on stability: 2 comes out at the bottom.



1:
10
Lattice="-4.974 -5.827 -0.571 4.051 -2.884 -5.857 3.239 -7.938 1.110" Properties=species:S:1:pos:R:3 comment="Rb3BrCl6, relaxed, DFT PBE" total_magnetization_mub_per_cell=0.00 sg=I4/mmm pbc="T T T"
Br -0.462 -4.356 -3.214
Rb -1.098 -9.060 -1.338
Rb 3.414 -7.589 -3.981
Rb 0.000 0.000 0.000
Cl 1.517 -6.271 -0.902
Cl 0.798 -10.378 -4.416
Cl -0.260 -2.456 -1.813
Cl -0.663 -6.255 -4.615
Cl -2.429 -4.997 -2.061
Cl 1.506 -3.714 -4.366



2:
20
Lattice="-0.301 -5.229 0.380 6.953 -0.694 -4.042 8.796 1.033 14.954" Properties=species:S:1:pos:R:3 comment="Rb3BrCl6, relaxed, DFT PBE" total_magnetization_mub_per_cell=0.33 sg=P2_1/c pbc="T T T"
Rb 7.765 -1.796 11.183
Rb 3.326 -2.961 -1.831
Rb 7.683 -3.094 0.108
Rb 4.552 -5.061 3.120
Rb 4.398 0.516 7.477
Rb 10.896 0.170 8.172
Br 7.724 -2.445 5.646
Br 0.000 0.000 0.000
Cl 13.797 -1.004 10.259
Cl 10.130 -2.518 5.867
Cl 4.644 -2.563 1.101
Cl 10.803 -2.328 10.191
Cl 5.318 -2.372 5.424
Cl 1.651 -3.886 1.032
Cl 7.907 -4.001 3.753
Cl 5.668 -5.658 -1.470
Cl 6.047 -4.377 10.421
Cl 9.401 -0.513 0.870
Cl 9.780 0.767 12.762
Cl 7.541 -0.889 7.539



Verdict on stability: 1 comes out at the bottom.



1:
8
Lattice="7.700 0.000 0.000 0.000 7.700 0.000 3.850 3.850 7.408" Properties=species:S:1:pos:R:3 comment="Rb2BrCl, relaxed, DFT PBE" total_magnetization_mub_per_cell=0.00 sg=I-42d pbc="T T T"
Br 0.000 0.000 0.000
Br 7.700 3.850 3.704
Rb 5.633 1.925 1.852
Rb 2.067 5.775 1.852
Rb 5.775 5.917 5.556
Rb 9.625 9.483 5.556
Cl 3.850 3.850 0.000
Cl 3.850 7.700 3.704



2:
4
Lattice="4.099 0.000 0.000 0.000 4.099 0.000 0.000 0.000 8.213" Properties=species:S:1:pos:R:3 comment="Rb2BrCl, relaxed, DFT PBE" total_magnetization_mub_per_cell=0.00 sg=P4/mmm pbc="T T T"
Br 2.050 2.050 4.106
Rb 0.000 0.000 6.233
Rb 0.000 0.000 1.980
Cl 2.050 2.050 0.000



Verdict on stability: 1 comes out at the bottom.



1:
4
Lattice="0.704 -5.113 2.660 -3.985 -1.877 3.782 -3.423 -4.484 -1.376" Properties=species:S:1:pos:R:3 comment="Rb2BrCl, relaxed, DFT PBE" total_magnetization_mub_per_cell=0.00 sg=Fm-3m pbc="T T T"
Br -3.352 -5.737 2.533
Rb -1.676 -2.868 1.267
Rb -5.028 -8.605 3.800
Cl 0.000 0.000 0.000



2:
4
Lattice="4.814 -0.002 -0.005 -2.407 4.169 0.005 -2.401 -1.392 8.032" Properties=species:S:1:pos:R:3 comment="Rb2BrCl, relaxed, DFT PBE" total_magnetization_mub_per_cell=0.07 sg=R-3m pbc="T T T"
Rb 0.004 -0.002 6.124
Rb 0.002 2.778 1.908
Br -2.404 1.388 4.018
Cl 4.814 -0.002 -0.005



3:
4
Lattice="4.719 0.000 0.000 2.360 4.087 0.000 2.360 1.362 8.349" Properties=species:S:1:pos:R:3 comment="Rb2BrCl, relaxed, DFT PBE" total_magnetization_mub_per_cell=0.01 sg=R3m pbc="T T T"
Rb 2.360 1.362 6.377
Rb 2.360 1.362 1.970
Br 4.719 2.725 4.199
Cl 7.079 4.087 8.328



Verdict on stability: 1 comes out at the bottom.